Here is ScSb2Cl after structural relaxation from Alexandria via LeMat-Bulk. Energies are from PBE.

```
4
Lattice="3.3482 0.0000 0.0000 0.0000 4.2306 0.0000 -0.0135 0.0000 7.1758" Properties=species:S:1:pos:R:3 pbc="T T T"
Sc 0.0000 0.0000 0.0000
Sb 1.6587 2.1153 5.6756
Sb 1.6760 2.1153 1.5002
Cl -0.0067 0.0000 3.5879
```

Calculated values
The calculation puts the total magnetization at 0.0 μB per formula unit. The value obtained for the polymorph energy (0 for the lowest one) is 0.2415 eV per atom.

Here is Sc2SbCl after structural relaxation from Alexandria via LeMat-Bulk. Energies are from PBE.

```
4
Lattice="4.0597 0.0000 0.0000 0.0000 1.9462 5.7373 0.0000 -1.9462 5.7373" Properties=species:S:1:pos:R:3 pbc="T T T"
Sc 0.0000 0.0000 0.0000
Sc 2.0299 0.0000 3.0136
Sb 2.0299 0.0000 6.2575
Cl 0.0000 0.0000 9.0511
```

Calculated values
The calculation puts the total magnetization at 0.0 μB per formula unit. The value obtained for the polymorph energy (0 for the lowest one) is 0.0329 eV per atom.

Uncorrected formation energy readings, ordered: -0.5077, -0.9568 eV/atom
Fermi-level density of states readings, ordered: 1.49, 2.90 states/eV/f.u.
E_tot readings, ordered: -18.454, -22.459 eV/f.u.